# 1
The following is a DFT calculation (PBE) of a relaxed structure of Cd6Pt7.

abc: 9.694 9.694 9.694
angles: 33.03 33.03 33.03
Element x y z (fractional)
Cd  0.949  0.949  0.949
Cd  0.051  0.051  0.051
Cd  0.843  0.843  0.843
Cd  0.157  0.157  0.157
Cd  0.666  0.666  0.666
Cd  0.334  0.334  0.334
Pt  0.916  0.411  0.411
Pt  0.411  0.411  0.916
Pt  0.411  0.916  0.411
Pt  0.084  0.589  0.589
Pt  0.589  0.084  0.589
Pt  0.589  0.589  0.084
Pt  0.500  0.500  0.500

Properties
crystal system: trigonal
formation energy: -0.25 eV/atom
E: -3.92 eV/atom

=====

# 2
The following is a DFT calculation (PBE) of a relaxed structure of AcBeZn.

abc: 4.875 4.875 5.677
angles: 83.21 83.21 90.05
Element x y z (fractional)
Zn  0.726  0.726  0.349
Zn  0.388  0.388  0.258
Be  0.903  0.212  0.300
Be  0.212  0.903  0.300
Ac  0.560  0.060  0.802
Ac  0.060  0.560  0.802

Properties
crystal system: monoclinic
formation energy: 0.22 eV/atom
E: -2.81 eV/atom

=====

# 3
The following is a DFT calculation (PBE) of a relaxed structure of RbMgTiW2.

abc: 4.719 5.720 4.719
angles: 90.00 90.00 90.00
Element x y z (fractional)
Mg  0.500  0.500  0.500
Rb  0.000  0.500  0.000
W  0.000  0.000  0.500
W  0.500  0.000  0.000
Ti  0.000  0.000  0.000

Properties
crystal system: tetragonal
formation energy: 1.96 eV/atom
E: -5.32 eV/atom

=====

# 4
The following is a DFT calculation (PBE) of a relaxed structure of HgIrSe2.

abc: 7.950 7.950 7.950
angles: 26.81 26.81 26.81
Element x y z (fractional)
Hg  0.494  0.494  0.494
Ir  0.744  0.744  0.744
Se  0.028  0.028  0.028
Se  0.235  0.235  0.235

Properties
crystal system: trigonal
E: -3.94 eV/atom
energy relative to the elements, uncorrected: 0.092 eV/atom

=====

# 5
The following is a DFT calculation (PBE) of a relaxed structure of LaNiCl2.

abc: 3.995 3.993 5.630
angles: 90.00 90.00 90.00
Element x y z (fractional)
Ni  0.500  0.500  0.727
Cl  0.000  0.000  0.984
Cl  0.500  0.500  0.289
La  0.000  0.000  0.501

Properties
crystal system: tetragonal
E: -4.55 eV/atom
energy relative to the elements, uncorrected: -0.945 eV/atom

=====

# 6
The following is a DFT calculation (PBE) of a relaxed structure of SrCeSb2O8.

abc: 5.402 5.402 6.918
angles: 112.98 112.98 90.00
Element x y z (fractional)
Sr  0.750  0.250  0.500
Ce  0.000  0.000  0.000
Sb  0.500  0.500  0.000
Sb  0.250  0.750  0.500
O  0.770  0.829  0.165
O  0.395  0.336  0.165
O  0.591  0.680  0.684
O  0.093  0.005  0.684
O  0.995  0.409  0.316
O  0.320  0.907  0.316
O  0.171  0.605  0.835
O  0.664  0.230  0.835

Properties
crystal system: tetragonal
E: -6.76 eV/atom
energy relative to the elements, uncorrected: -2.129 eV/atom

=====

# 7
The following is a DFT calculation (PBE) of a relaxed structure of Dy3Tl2Hg.

abc: 3.731 3.731 11.591
angles: 90.00 90.00 90.00
Element x y z (fractional)
Dy  0.000  0.000  0.000
Dy  0.000  0.000  0.657
Dy  0.000  0.000  0.343
Tl  0.500  0.500  0.828
Tl  0.500  0.500  0.172
Hg  0.500  0.500  0.500

Properties
crystal system: tetragonal
formation energy: -0.39 eV/atom
E: -3.53 eV/atom

=====

# 8
The following is a DFT calculation (PBE) of a relaxed structure of Nd2BiRh.

abc: 3.646 3.646 8.044
angles: 90.00 90.00 90.00
Element x y z (fractional)
Rh  0.500  0.500  0.000
Nd  0.000  0.000  0.788
Nd  0.000  0.000  0.212
Bi  0.500  0.500  0.500

Properties
crystal system: tetragonal
formation energy: -0.66 eV/atom
E: -5.85 eV/atom

=====

# 9
The following is a DFT calculation (PBE) of a relaxed structure of TmMgAlPd.

abc: 4.796 4.796 4.796
angles: 60.00 60.00 60.00
Element x y z (fractional)
Mg  0.000  0.000  0.000
Tm  0.500  0.500  0.500
Al  0.250  0.250  0.250
Pd  0.750  0.750  0.750

Properties
crystal system: cubic
formation energy: -0.54 eV/atom
E: -4.29 eV/atom

=====

# 10
The following is a DFT calculation (PBE) of a relaxed structure of ScCuTc4.

abc: 5.161 5.161 5.161
angles: 60.00 60.00 60.00
Element x y z (fractional)
Sc  0.000  0.000  0.000
Cu  0.750  0.750  0.750
Tc  0.873  0.376  0.376
Tc  0.376  0.376  0.873
Tc  0.376  0.873  0.376
Tc  0.376  0.376  0.376

Properties
crystal system: cubic
formation energy: 0.15 eV/atom
E: -8.50 eV/atom

=====

# 11
The following is a DFT calculation (PBE) of a relaxed structure of KNa2ThBr8.

abc: 7.373 6.200 9.756
angles: 89.90 89.99 90.87
Element x y z (fractional)
K  0.000  0.000  0.500
Na  0.500  0.500  0.767
Na  0.500  0.500  0.233
Th  0.000  0.000  0.000
Br  0.150  0.751  0.216
Br  0.671  0.750  0.000
Br  0.849  0.248  0.216
Br  0.850  0.249  0.784
Br  0.329  0.250  0.000
Br  0.151  0.752  0.784
Br  0.523  0.753  0.500
Br  0.477  0.247  0.500

Properties
crystal system: triclinic
E: -3.54 eV/atom
energy relative to the elements, uncorrected: -1.493 eV/atom

=====

# 12
The following is a DFT calculation (PBE) of a relaxed structure of La2GaPH.

abc: 5.753 3.659 5.753
angles: 90.00 90.00 90.00
Element x y z (fractional)
P  0.000  0.000  0.000
H  0.000  0.500  0.000
Ga  0.500  0.500  0.500
La  0.000  0.000  0.500
La  0.500  0.000  0.000

Properties
crystal system: tetragonal
E: -4.69 eV/atom

=====

# 13
The following is a DFT calculation (PBE) of a relaxed structure of La2NiCl.

abc: 5.108 5.108 5.108
angles: 60.00 60.00 60.00
Element x y z (fractional)
Ni  0.500  0.500  0.500
Cl  0.000  0.000  0.000
La  0.250  0.250  0.250
La  0.750  0.750  0.750

Properties
crystal system: cubic
E: -5.01 eV/atom
energy relative to the elements, uncorrected: -0.639 eV/atom

=====

# 14
The following is a DFT calculation (PBE) of a relaxed structure of CuP2Ru.

abc: 2.923 3.681 5.003
angles: 90.00 90.00 90.00
Element x y z (fractional)
Cu  0.500  0.500  0.805
P  0.000  0.000  0.934
P  0.500  0.500  0.308
Ru  0.000  0.000  0.453

Properties
crystal system: orthorhombic
formation energy: -0.02 eV/atom
E: -6.07 eV/atom

=====

# 15
The following is a DFT calculation (PBE) of a relaxed structure of Ac2TmTl4.

abc: 6.551 6.663 11.130
angles: 90.00 111.96 90.00
Element x y z (fractional)
Ac  0.674  0.750  0.004
Ac  0.326  0.250  0.996
Ac  0.286  0.250  0.419
Ac  0.714  0.750  0.581
Tm  0.272  0.750  0.198
Tm  0.728  0.250  0.802
Tl  0.689  0.488  0.289
Tl  0.086  0.750  0.893
Tl  0.914  0.250  0.107
Tl  0.689  0.012  0.289
Tl  0.868  0.250  0.567
Tl  0.311  0.988  0.711
Tl  0.311  0.512  0.711
Tl  0.132  0.750  0.433

Properties
crystal system: monoclinic
formation energy: -0.26 eV/atom
E: -3.43 eV/atom

=====

# 16
The following is a DFT calculation (PBE) of a relaxed structure of Ba6Te2SeI3.

abc: 8.518 8.518 8.649
angles: 99.45 99.45 119.92
Element x y z (fractional)
Ba  0.926  0.605  0.777
Ba  0.754  0.754  0.225
Ba  0.074  0.395  0.223
Ba  0.605  0.926  0.777
Ba  0.246  0.246  0.775
Ba  0.395  0.074  0.223
Te  0.334  0.666  0.000
Te  0.666  0.334  0.000
Se  0.000  0.000  0.000
I  0.171  0.829  0.500
I  0.829  0.171  0.500
I  0.500  0.500  0.500

Properties
crystal system: monoclinic
E: -3.78 eV/atom
energy relative to the elements, uncorrected: -1.618 eV/atom

=====

# 17
The following is a DFT calculation (PBE) of a relaxed structure of La4Nd2HoTh.

abc: 6.172 6.158 9.598
angles: 50.07 90.00 90.00
Element x y z (fractional)
La  0.000  0.733  0.766
La  0.000  0.267  0.234
La  0.500  0.764  0.236
La  0.500  0.236  0.764
Nd  0.000  0.000  0.000
Nd  0.500  0.000  0.500
Ho  0.000  0.500  0.500
Th  0.500  0.500  0.000

Properties
crystal system: orthorhombic
formation energy: 0.12 eV/atom
E: -5.03 eV/atom

=====

# 18
The following is a DFT calculation (PBE) of a relaxed structure of Tb2ThSe.

abc: 3.743 3.743 9.746
angles: 78.93 78.93 60.00
Element x y z (fractional)
Tb  0.734  0.734  0.797
Tb  0.266  0.266  0.203
Se  0.000  0.000  0.000
Th  0.500  0.500  0.500

Properties
crystal system: trigonal
E: -5.86 eV/atom
energy relative to the elements, uncorrected: -0.817 eV/atom

=====

# 19
The following is a DFT calculation (PBE) of a relaxed structure of GaPO.

abc: 3.956 6.520 4.573
angles: 90.00 113.85 90.00
Element x y z (fractional)
Ga  0.772  0.845  0.537
Ga  0.228  0.345  0.463
P  0.838  0.491  0.695
P  0.162  0.991  0.305
O  0.979  0.499  0.076
O  0.021  0.999  0.924

Properties
crystal system: monoclinic
E: -5.37 eV/atom
energy relative to the elements, uncorrected: -0.906 eV/atom

=====

# 20
The following is a DFT calculation (PBE) of a relaxed structure of Pu3Ni8H.

abc: 4.963 4.963 8.610
angles: 73.25 73.25 60.00
Element x y z (fractional)
Pu  0.618  0.618  0.147
Pu  0.004  0.004  0.987
Pu  0.488  0.488  0.537
Ni  0.559  0.055  0.827
Ni  0.054  0.560  0.332
Ni  0.559  0.559  0.827
Ni  0.054  0.054  0.332
Ni  0.806  0.806  0.582
Ni  0.308  0.308  0.077
Ni  0.055  0.559  0.827
Ni  0.560  0.054  0.332
H  0.185  0.185  0.444

Properties
crystal system: trigonal
E: -7.87 eV/atom

=====

Magnetization across the listed records, respectively: 0.00, 0.00, 0.00, 0.00, 0.00, 0.00, 0.01, 0.00, 0.00, 0.00, 0.20, 0.00, 0.00, 0.00, 0.00, 0.00, 0.00, 0.00, 0.00, 14.04 μB per formula unit.